VASP calculation (PBE-GGA) on a relaxed structure of Tb4HoIn.

Unit cell a=3.5672 b=3.5672 c=14.3360 alpha=90.00 beta=90.00 gamma=90.00
Last column: nearest neighbours and their distance in Å.
Space group P4/mmm (No. 123)
One atom of each set of equivalent atoms:
Tb: 0.0000 0.0000 0.1482 x2  4 In 3.30, 8 Tb 3.57-3.58
Tb: 0.5000 0.5000 0.3253 x2  4 Ho 3.55, 8 Tb 3.57-3.58
Ho: 0.0000 0.0000 0.5000 x1  8 Tb 3.55, 4 Ho 3.57
In: 0.5000 0.5000 0.0000 x1  8 Tb 3.30, 4 In 3.57

Summary:
- Total magnetic moment: 0.0000 μB/atom
- Energy of formation: -148 meV per atom
- Distance to the lowest polymorph of the same formula: 0 meV/atom

VASP calculation (PBE-GGA) on a relaxed structure of Tb2Ho5In2.

Unit cell a=15.8660 b=10.4554 c=6.5260 alpha=90.00 beta=90.00 gamma=90.00
Last column: nearest neighbours and their distance in Å.
Space group Ima2 (No. 46)
One atom of each set of equivalent atoms:
Tb: 0.0000 0.0000 0.0000 x4  6 Ho 3.11-3.33, 2 In 3.36
Tb: 0.2500 0.0177 0.1860 x4  2 In 3.19, 4 Ho 3.36-3.53
Ho: 0.0551 0.2438 0.7008 x8  2 Tb 3.11-3.33, 4 Ho 3.27-3.43, 2 In 3.27-3.48
Ho: 0.1509 0.6956 0.3418 x8  4 Ho 3.15-3.46, 2 In 3.16-3.17, 1 Tb 3.31
Ho: 0.2500 0.1088 0.6928 x4  2 In 3.29, 2 Tb 3.36-3.44, 4 Ho 3.40-3.68
In: 0.0882 0.5281 0.9659 x8  1 In 2.86, 2 Ho 3.16-3.17, 1 Tb 3.19

Summary:
- Total magnetic moment: 0.0000 μB/atom
- Energy of formation: -35 meV per atom

VASP calculation (PBE-GGA) on a relaxed structure of TbHoIn4.

Unit cell a=8.4734 b=8.4734 c=8.4734 alpha=90.00 beta=90.00 gamma=90.00
Last column: nearest neighbours and their distance in Å.
Space group F-43m (No. 216)
One atom of each set of equivalent atoms:
Tb: 0.0000 0.0000 0.0000 x4  12 In 3.51, 4 Ho 3.67
Ho: 0.2500 0.2500 0.2500 x4  12 In 3.51, 4 Tb 3.67
In: 0.1250 0.1250 0.6250 x16  6 In 3.00

Summary:
- Total magnetic moment: 0.0000 μB/atom
- Energy of formation: -325 meV per atom

VASP calculation (PBE-GGA) on a relaxed structure of Tb5Ho5In.

Unit cell a=6.0491 b=6.0491 c=11.2185 alpha=90.00 beta=90.00 gamma=120.00
Last column: nearest neighbours and their distance in Å.
Space group P-6m2 (No. 187)
One atom of each set of equivalent atoms:
Tb: 0.0000 0.0000 0.0000 x1  2 Ho 2.99
Tb: 0.3333 0.6667 0.2958 x2  1 In 3.32, 3 Ho 3.51
Tb: 0.6667 0.3333 0.1780 x2  6 Ho 3.63-4.00, 7 Tb 3.73-4.02, 3 In 4.02
Ho: 0.0000 0.0000 0.2661 x2  1 Tb 2.99, 3 Ho 3.16
Ho: 0.3372 0.1686 0.5000 x3  6 Ho 2.99-3.16
In: 0.3333 0.6667 0.0000 x1  5 Tb 3.32-3.49

Summary:
- Total magnetic moment: 0.0022 μB/atom
- Energy of formation: 297 meV per atom

VASP calculation (PBE-GGA) on a relaxed structure of Tb2Ho7In2.

Unit cell a=3.6060 b=17.1503 c=11.0007 alpha=90.00 beta=90.00 gamma=90.00
Last column: nearest neighbours and their distance in Å.
Space group Imm2 (No. 44)
One atom of each set of equivalent atoms:
Tb: 0.0000 0.2193 0.0000 x4  8 Ho 3.32-3.58, 2 Tb 3.61
Ho: 0.0000 0.0000 0.9358 x2  3 In 3.22-3.35, 2 Ho 3.61
Ho: 0.0000 0.1063 0.5011 x4  3 In 3.32-3.40, 7 Ho 3.47-3.65, 2 Tb 3.49
Ho: 0.0000 0.3266 0.2566 x4  1 In 3.06, 3 Tb 3.32-3.37
Ho: 0.0000 0.3462 0.7417 x4  2 In 3.20, 2 Tb 3.40, 4 Ho 3.47
In: 0.0000 0.0000 0.2406 x2  7 Ho 3.20-3.40
In: 0.0000 0.5000 0.1927 x2  8 Ho 3.06-3.32

Summary:
- Total magnetic moment: 0.0000 μB/atom
- Energy of formation: -39 meV per atom

VASP calculation (PBE-GGA) on a relaxed structure of Tb7Ho4In.

Unit cell a=12.0692 b=5.8679 c=12.3574 alpha=90.00 beta=115.48 gamma=90.00
Last column: nearest neighbours and their distance in Å.
Space group C2/m (No. 12)
One atom of each set of equivalent atoms:
Tb: 0.0000 0.0000 0.0000 x2  2 In 2.93
Tb: 0.0957 0.5000 0.2769 x4  1 In 3.11, 2 Tb 3.36-3.40
Tb: 0.1318 0.0000 0.4739 x4  5 Ho 3.33-3.64, 4 Tb 3.40-3.72
Tb: 0.2016 0.5000 0.9203 x4  1 In 2.99, 1 Tb 3.30
Ho: 0.1355 0.0000 0.7697 x4  6 Tb 3.33-3.64, 2 Ho 3.48
Ho: 0.1452 0.5000 0.6221 x4  5 Tb 3.38-3.62, 3 Ho 3.48-3.51
In: 0.0000 0.5000 0.0000 x2  6 Tb 2.93-3.11

Summary:
- Total magnetic moment: 0.0000 μB/atom
- Energy of formation: 191 meV per atom
- Distance to the lowest polymorph of the same formula: 210 meV/atom

VASP calculation (PBE-GGA) on a relaxed structure of Tb5Ho2In3.

Unit cell a=12.6372 b=15.1961 c=6.5599 alpha=90.00 beta=90.00 gamma=90.00
Last column: nearest neighbours and their distance in Å.
Space group Ibam (No. 72)
One atom of each set of equivalent atoms:
Tb: 0.0000 0.0000 0.2500 x4  4 Tb 3.27-3.28, 4 In 3.28
Tb: 0.0752 0.3389 0.0000 x8  3 In 3.01-3.10
Tb: 0.2412 0.5000 0.2500 x8  3 In 3.05-3.18, 3 Tb 3.27-3.28
Ho: 0.1503 0.1995 0.5000 x8  4 In 3.38-3.72, 4 Tb 3.52-3.71
In: 0.0000 0.5000 0.2500 x4  6 Tb 3.05-3.10, 2 In 3.28
In: 0.1371 0.1479 0.0000 x8  5 Tb 3.01-3.28

Summary:
- Total magnetic moment: 0.0242 μB/atom
- Energy of formation: -36 meV per atom

VASP calculation (PBE-GGA) on a relaxed structure of TbHo5In3.

Unit cell a=9.3145 b=9.3145 c=6.7055 alpha=90.00 beta=90.00 gamma=120.00
Last column: nearest neighbours and their distance in Å.
Space group P6_3/mcm (No. 193)
One atom of each set of equivalent atoms:
Tb: 0.0000 0.0000 0.0000 x2  2 Tb 3.35, 6 Ho 3.52, 6 In 3.54
Ho: 0.0000 0.3329 0.2500 x6  5 In 3.10-3.35
Ho: 0.3333 0.6667 0.0000 x4  8 Ho 3.35-3.53, 6 In 3.52
In: 0.0000 0.3347 0.7500 x6  5 Ho 3.10-3.35

Summary:
- Total magnetic moment: 0.0002 μB/atom
- Energy of formation: -353 meV per atom

VASP calculation (PBE-GGA) on a relaxed structure of TbHo4In.

Unit cell a=3.5517 b=3.5517 c=14.2028 alpha=90.00 beta=90.00 gamma=90.00
Last column: nearest neighbours and their distance in Å.
Space group P4/mmm (No. 123)
One atom of each set of equivalent atoms:
Tb: 0.0000 0.0000 0.0000 x1  8 Ho 3.55, 4 Tb 3.55
Ho: 0.0000 0.0000 0.3518 x2  4 In 3.28, 8 Ho 3.54-3.55
Ho: 0.5000 0.5000 0.1763 x2  8 Ho 3.54-3.55, 4 Tb 3.55
In: 0.5000 0.5000 0.5000 x1  8 Ho 3.28, 4 In 3.55

Summary:
- Total magnetic moment: 0.0000 μB/atom
- Energy of formation: -150 meV per atom
- Distance to the lowest polymorph of the same formula: 0 meV/atom

VASP calculation (PBE-GGA) on a relaxed structure of Tb2Ho7In.

Unit cell a=8.6382 b=16.2464 c=5.2680 alpha=90.00 beta=90.00 gamma=90.00
Last column: nearest neighbours and their distance in Å.
Space group Cmmm (No. 65)
One atom of each set of equivalent atoms:
Tb: 0.0000 0.2073 0.0000 x4  5 Ho 3.04-3.37
Ho: 0.0000 0.0000 0.0000 x2  4 Ho 3.27, 2 Tb 3.37
Ho: 0.0000 0.3003 0.5000 x4  2 Tb 3.04, 1 In 3.24
Ho: 0.1769 0.3946 0.0000 x8  4 Ho 3.06-3.41, 2 Tb 3.25-3.41
In: 0.0000 0.5000 0.5000 x2  10 Ho 3.24-3.49

Summary:
- Total magnetic moment: 0.0000 μB/atom
- Energy of formation: 591 meV per atom

VASP calculation (PBE-GGA) on a relaxed structure of Tb3Ho2In7.

Unit cell a=4.8256 b=30.2155 c=4.6798 alpha=90.00 beta=90.00 gamma=90.00
Last column: nearest neighbours and their distance in Å.
Space group Cmmm (No. 65)
One atom of each set of equivalent atoms:
Tb: 0.0000 0.0000 0.0000 x2  12 In 3.30-3.37
Tb: 0.0000 0.1471 0.0000 x4  6 In 3.16-3.33, 4 Ho 3.38
Ho: 0.0000 0.3414 0.5000 x4  7 In 3.15-3.50, 4 Tb 3.38
In: 0.0000 0.0769 0.5000 x4  4 Tb 3.16-3.30, 6 In 3.35-3.36, 2 Ho 3.45
In: 0.0000 0.2256 0.5000 x4  2 In 2.83, 2 Ho 3.15
In: 0.0000 0.4221 0.0000 x4  4 Tb 3.19-3.37, 6 In 3.32-3.36, 2 Ho 3.38
In: 0.0000 0.5000 0.5000 x2  8 In 3.32-3.35, 4 Tb 3.36

Summary:
- Total magnetic moment: 0.0791 μB/atom
- Energy of formation: -228 meV per atom

VASP calculation (PBE-GGA) on a relaxed structure of Tb2HoIn4.

Unit cell a=5.2421 b=5.2421 c=14.6424 alpha=90.00 beta=90.00 gamma=90.00
Last column: nearest neighbours and their distance in Å.
Space group I4/mmm (No. 139)
One atom of each set of equivalent atoms:
Tb: 0.0000 0.0000 0.2491 x4  8 In 3.28-3.30, 1 Ho 3.67
Ho: 0.0000 0.0000 0.5000 x2  8 In 3.11
In: 0.0000 0.5000 0.1141 x8  2 Ho 3.11, 4 Tb 3.28-3.30, 1 In 3.34

Summary:
- Total magnetic moment: 0.0003 μB/atom
- Energy of formation: -316 meV per atom

Q: Which formula does entry 5 have?
A: Tb2Ho7In2

Q: The lowest energy of formation belongs to which entry?
A: TbHo5In3

Copy entry 7 word for word.
VASP calculation (PBE-GGA) on a relaxed structure of Tb5Ho2In3.

Unit cell a=12.6372 b=15.1961 c=6.5599 alpha=90.00 beta=90.00 gamma=90.00
Last column: nearest neighbours and their distance in Å.
Space group Ibam (No. 72)
One atom of each set of equivalent atoms:
Tb: 0.0000 0.0000 0.2500 x4  4 Tb 3.27-3.28, 4 In 3.28
Tb: 0.0752 0.3389 0.0000 x8  3 In 3.01-3.10
Tb: 0.2412 0.5000 0.2500 x8  3 In 3.05-3.18, 3 Tb 3.27-3.28
Ho: 0.1503 0.1995 0.5000 x8  4 In 3.38-3.72, 4 Tb 3.52-3.71
In: 0.0000 0.5000 0.2500 x4  6 Tb 3.05-3.10, 2 In 3.28
In: 0.1371 0.1479 0.0000 x8  5 Tb 3.01-3.28

Summary:
- Total magnetic moment: 0.0242 μB/atom
- Energy of formation: -36 meV per atom

Q: Look up the total magnetic moment of the eighth one.
A: 0.0002 μB/atom